SbPt: optimized geometry, PBE-GGA.

POSCAR file:
```
SbPt
1.0
11.114 0.000 0.000
0.000 11.114 0.000
0.000 0.000 4.236
Sb Pt
8 8
Direct
0.077 0.681 0.000
0.238 0.371 0.500
0.319 0.077 0.000
0.371 0.762 0.500
0.629 0.238 0.500
0.681 0.923 0.000
0.762 0.629 0.500
0.923 0.319 0.000
0.122 0.440 0.000
0.198 0.607 0.500
0.393 0.198 0.500
0.440 0.878 0.000
0.560 0.122 0.000
0.607 0.802 0.500
0.802 0.393 0.500
0.878 0.560 0.000
```

=====

Sb2Pt3: optimized geometry, PBE-GGA.

Summary:
Energy relative to the lowest polymorph listed for this composition   153 meV per atom

POSCAR file:
```
Sb2Pt3
1.0
3.373 1.947 5.371
-3.373 1.947 5.371
0.000 -3.895 5.371
Sb Pt
4 6
Direct
0.111 0.111 0.111
0.389 0.389 0.389
0.611 0.611 0.611
0.889 0.889 0.889
0.008 0.250 0.492
0.250 0.492 0.008
0.492 0.008 0.250
0.508 0.992 0.750
0.750 0.508 0.992
0.992 0.750 0.508
```

=====

| no. | total moment (μB/f.u.) | theoretical density (kg/m3) | formation energy without anion corrections (eV per atom) |
| --- | --- | --- | --- |
| 1 | 0.00 | 8044 | -0.207 |
| 2 | 0.00 | 13006 | -0.228 |